P | # Tm5Tl3

An optimized crystal structure of Tm5Tl3 (PBE, Alexandria). Values from VASP.

Cell and atoms, written as Quantum ESPRESSO input:
```
&SYSTEM
  ibrav = 0, nat = 16, ntyp = 2
/
ATOMIC_SPECIES
Tm 168.93 Tm.upf
Tl 204.38 Tl.upf
CELL_PARAMETERS angstrom
-1.986 4.534 -1.031
-0.621 -1.754 -6.517
-11.884 -4.662 2.387
ATOMIC_POSITIONS crystal
Tm 0.000 0.000 0.500
Tm 0.000 0.149 0.227
Tm 0.500 0.661 0.605
Tm 0.000 0.649 0.273
Tm 0.500 0.161 0.895
Tm 0.500 0.339 0.395
Tm 0.000 0.351 0.727
Tm 0.000 0.500 0.000
Tm 0.500 0.839 0.105
Tm 0.000 0.851 0.773
Tl 0.000 0.000 0.000
Tl 0.000 0.500 0.500
Tl 0.500 0.890 0.348
Tl 0.500 0.390 0.152
Tl 0.500 0.110 0.652
Tl 0.500 0.610 0.848
```

Summary:
Total moment = 0.0 μB/f.u.
N(E_F) = 11.82 states/eV per cell

---

Q | # Tm5Tl3

An optimized crystal structure of Tm5Tl3 (PBE, Alexandria). Values from VASP.

Cell and atoms, written as Quantum ESPRESSO input:
```
&SYSTEM
  ibrav = 0, nat = 16, ntyp = 2
/
ATOMIC_SPECIES
Tm 168.93 Tm.upf
Tl 204.38 Tl.upf
CELL_PARAMETERS angstrom
8.920 0.000 0.000
-4.460 7.725 0.000
0.000 0.000 6.516
ATOMIC_POSITIONS crystal
Tm 0.000 0.766 0.250
Tm 0.333 0.667 0.500
Tm 0.766 0.000 0.250
Tm 0.667 0.333 0.000
Tm 0.667 0.333 0.500
Tm 0.333 0.667 0.000
Tm 0.234 0.000 0.750
Tm 0.000 0.234 0.750
Tm 0.234 0.234 0.250
Tm 0.766 0.766 0.750
Tl 0.403 0.000 0.250
Tl 0.597 0.000 0.750
Tl 0.403 0.403 0.750
Tl 0.597 0.597 0.250
Tl 0.000 0.597 0.750
Tl 0.000 0.403 0.250
```

Summary:
Total moment = 0.0 μB/f.u.
N(E_F) = 18.79 states/eV per cell

---

The most stable arrangement is Q, and the next structure is 27 meV/atom less stable.

---

P | # Y2Tm3Tl

An optimized crystal structure of Y2Tm3Tl (PBE, Alexandria). Values from VASP.

Cell and atoms, written as Quantum ESPRESSO input:
```
&SYSTEM
  ibrav = 0, nat = 6, ntyp = 3
/
ATOMIC_SPECIES
Tm 168.93 Tm.upf
Tl 204.38 Tl.upf
Y 88.91 Y.upf
CELL_PARAMETERS angstrom
-4.330 4.531 -1.200
-1.187 -2.469 -5.040
-0.802 -3.847 5.338
ATOMIC_POSITIONS crystal
Tm 0.655 0.779 0.310
Tm 0.000 0.124 0.000
Tm 0.345 0.469 0.690
Tl 0.500 0.124 0.000
Y 0.815 0.439 0.631
Y 0.185 0.808 0.369
```

Summary:
Total moment = 0.0 μB/f.u.
N(E_F) = 9.09 states/eV per cell

---

Q | # Y2Tm3Tl

An optimized crystal structure of Y2Tm3Tl (PBE, Alexandria). Values from VASP.

Cell and atoms, written as Quantum ESPRESSO input:
```
&SYSTEM
  ibrav = 0, nat = 6, ntyp = 3
/
ATOMIC_SPECIES
Tl 204.38 Tl.upf
Y 88.91 Y.upf
Tm 168.93 Tm.upf
CELL_PARAMETERS angstrom
-0.770 4.797 0.226
-4.730 -0.736 -0.495
1.656 -0.098 7.710
ATOMIC_POSITIONS crystal
Tl 0.000 0.000 0.000
Y 0.000 0.661 0.322
Y 0.000 0.339 0.678
Tm 0.500 0.830 0.661
Tm 0.500 0.170 0.339
Tm 0.500 0.500 0.000
```

Summary:
Total moment = 0.0 μB/f.u.
N(E_F) = 6.18 states/eV per cell

---

The most stable arrangement is Q, and the next structure is 373 meV/atom less stable.

---

P | # Y6TmTl

An optimized crystal structure of Y6TmTl (PBE, Alexandria). Values from VASP.

Cell and atoms, written as Quantum ESPRESSO input:
```
&SYSTEM
  ibrav = 0, nat = 8, ntyp = 3
/
ATOMIC_SPECIES
Tm 168.93 Tm.upf
Y 88.91 Y.upf
Tl 204.38 Tl.upf
CELL_PARAMETERS angstrom
4.914 0.000 0.000
0.000 4.914 0.000
0.000 0.000 10.099
ATOMIC_POSITIONS crystal
Tm 0.000 0.000 0.500
Y 0.000 0.500 0.754
Y 0.500 0.000 0.754
Y 0.500 0.500 0.000
Y 0.000 0.500 0.246
Y 0.500 0.500 0.500
Y 0.500 0.000 0.246
Tl 0.000 0.000 0.000
```

Summary:
Total moment = 0.0 μB/f.u.
N(E_F) = 10.46 states/eV per cell

---

Q | # Y6TmTl

An optimized crystal structure of Y6TmTl (PBE, Alexandria). Values from VASP.

Cell and atoms, written as Quantum ESPRESSO input:
```
&SYSTEM
  ibrav = 0, nat = 8, ntyp = 3
/
ATOMIC_SPECIES
Y 88.91 Y.upf
Tl 204.38 Tl.upf
Tm 168.93 Tm.upf
CELL_PARAMETERS angstrom
9.240 0.004 0.320
4.624 7.297 -0.095
4.493 2.316 3.803
ATOMIC_POSITIONS crystal
Y 0.758 0.965 0.732
Y 0.545 0.242 0.178
Y 0.455 0.758 0.822
Y 0.965 0.546 0.247
Y 0.035 0.454 0.753
Y 0.242 0.035 0.268
Tl 0.000 0.000 0.000
Tm 0.500 0.500 0.500
```

Summary:
Total moment = 0.0 μB/f.u.
N(E_F) = 12.17 states/eV per cell

---

The most stable arrangement is P, and the next structure is 81 meV/atom less stable.

---

P | # YTm2Tl

An optimized crystal structure of YTm2Tl (PBE, Alexandria). Values from VASP.

Cell and atoms, written as Quantum ESPRESSO input:
```
&SYSTEM
  ibrav = 0, nat = 4, ntyp = 3
/
ATOMIC_SPECIES
Tm 168.93 Tm.upf
Y 88.91 Y.upf
Tl 204.38 Tl.upf
CELL_PARAMETERS angstrom
-3.861 2.651 -1.142
-1.411 -0.072 4.604
2.515 4.021 0.834
ATOMIC_POSITIONS crystal
Tm 0.000 0.500 0.000
Tm 0.000 0.000 0.500
Y 0.500 0.000 0.000
Tl 0.500 0.500 0.500
```

Summary:
Total moment = 0.9 μB/f.u.
N(E_F) = 4.95 states/eV per cell

---

Q | # YTm2Tl

An optimized crystal structure of YTm2Tl (PBE, Alexandria). Values from VASP.

Cell and atoms, written as Quantum ESPRESSO input:
```
&SYSTEM
  ibrav = 0, nat = 4, ntyp = 3
/
ATOMIC_SPECIES
Tl 204.38 Tl.upf
Tm 168.93 Tm.upf
Y 88.91 Y.upf
CELL_PARAMETERS angstrom
-2.651 -1.902 4.336
2.514 -3.327 3.473
1.313 1.751 4.967
ATOMIC_POSITIONS crystal
Tl 0.750 0.750 0.750
Tm 0.000 0.000 0.000
Tm 0.250 0.250 0.250
Y 0.500 0.500 0.500
```

Summary:
Total moment = 1.3 μB/f.u.
N(E_F) = 5.86 states/eV per cell

---

R | # YTm2Tl

An optimized crystal structure of YTm2Tl (PBE, Alexandria). Values from VASP.

Cell and atoms, written as Quantum ESPRESSO input:
```
&SYSTEM
  ibrav = 0, nat = 4, ntyp = 3
/
ATOMIC_SPECIES
Tl 204.38 Tl.upf
Tm 168.93 Tm.upf
Y 88.91 Y.upf
CELL_PARAMETERS angstrom
-1.230 -3.278 0.488
2.015 -2.425 1.600
-3.851 1.085 10.397
ATOMIC_POSITIONS crystal
Tl 0.000 0.000 0.000
Tm 0.746 0.746 0.762
Tm 0.254 0.254 0.238
Y 0.500 0.500 0.500
```

Summary:
Total moment = 0.0 μB/f.u.
N(E_F) = 4.19 states/eV per cell

---

S | # YTm2Tl

An optimized crystal structure of YTm2Tl (PBE, Alexandria). Values from VASP.

Cell and atoms, written as Quantum ESPRESSO input:
```
&SYSTEM
  ibrav = 0, nat = 8, ntyp = 3
/
ATOMIC_SPECIES
Y 88.91 Y.upf
Tm 168.93 Tm.upf
Tl 204.38 Tl.upf
CELL_PARAMETERS angstrom
4.735 0.000 0.000
0.000 4.503 -0.887
0.000 -0.136 11.115
ATOMIC_POSITIONS crystal
Y 0.250 0.308 0.614
Y 0.750 0.692 0.386
Tm 0.250 0.935 0.868
Tm 0.250 0.556 0.114
Tm 0.750 0.065 0.132
Tm 0.750 0.444 0.886
Tl 0.750 0.838 0.672
Tl 0.250 0.162 0.328
```

Summary:
Total moment = 0.0 μB/f.u.
N(E_F) = 8.38 states/eV per cell

---

The most stable arrangement is P, and the next structure is 12 meV/atom less stable.

---

P | # Y3TmTl2

An optimized crystal structure of Y3TmTl2 (PBE, Alexandria). Values from VASP.

Cell and atoms, written as Quantum ESPRESSO input:
```
&SYSTEM
  ibrav = 0, nat = 12, ntyp = 3
/
ATOMIC_SPECIES
Tl 204.38 Tl.upf
Y 88.91 Y.upf
Tm 168.93 Tm.upf
CELL_PARAMETERS angstrom
-1.327 -6.037 3.851
-3.307 -3.052 -5.924
8.820 1.726 -1.141
ATOMIC_POSITIONS crystal
Tl 0.439 0.637 0.274
Tl 0.561 0.363 0.726
Tl 0.166 0.863 0.726
Tl 0.834 0.137 0.274
Y 0.779 0.029 0.558
Y 0.500 0.250 0.000
Y 0.779 0.529 0.558
Y 0.221 0.471 0.442
Y 0.500 0.750 0.000
Y 0.221 0.971 0.442
Tm 0.000 0.500 0.000
Tm 0.000 0.000 0.000
```

Summary:
Total moment = 0.5 μB/f.u.
N(E_F) = 15.00 states/eV per cell

---

Q | # Y3TmTl2

An optimized crystal structure of Y3TmTl2 (PBE, Alexandria). Values from VASP.

Cell and atoms, written as Quantum ESPRESSO input:
```
&SYSTEM
  ibrav = 0, nat = 12, ntyp = 3
/
ATOMIC_SPECIES
Tl 204.38 Tl.upf
Y 88.91 Y.upf
Tm 168.93 Tm.upf
CELL_PARAMETERS angstrom
-2.451 -4.427 -0.373
5.131 -3.109 3.180
-4.425 1.707 8.810
ATOMIC_POSITIONS crystal
Tl 0.500 0.207 0.133
Tl 0.500 0.707 0.867
Tl 0.000 0.794 0.367
Tl 0.000 0.294 0.633
Y 0.000 0.953 0.041
Y 0.000 0.453 0.959
Y 0.500 0.175 0.810
Y 0.000 0.825 0.685
Y 0.000 0.325 0.315
Y 0.500 0.675 0.190
Tm 0.500 0.045 0.460
Tm 0.500 0.545 0.540
```

Summary:
Total moment = 0.0 μB/f.u.
N(E_F) = 12.78 states/eV per cell

---

The most stable arrangement is Q, and the next structure is 278 meV/atom less stable.

---

P | # Y2TmTl

An optimized crystal structure of Y2TmTl (PBE, Alexandria). Values from VASP.

Cell and atoms, written as Quantum ESPRESSO input:
```
&SYSTEM
  ibrav = 0, nat = 8, ntyp = 3
/
ATOMIC_SPECIES
Y 88.91 Y.upf
Tm 168.93 Tm.upf
Tl 204.38 Tl.upf
CELL_PARAMETERS angstrom
3.700 -0.001 0.213
0.001 5.441 0.003
3.028 0.006 11.890
ATOMIC_POSITIONS crystal
Y 0.663 0.250 0.837
Y 0.872 0.751 0.628
Y 0.128 0.249 0.372
Y 0.337 0.750 0.163
Tm 0.906 0.250 0.094
Tm 0.094 0.750 0.906
Tl 0.391 0.251 0.609
Tl 0.609 0.749 0.391
```

Summary:
Total moment = 0.0 μB/f.u.
N(E_F) = 9.01 states/eV per cell

---

Q | # Y2TmTl

An optimized crystal structure of Y2TmTl (PBE, Alexandria). Values from VASP.

Cell and atoms, written as Quantum ESPRESSO input:
```
&SYSTEM
  ibrav = 0, nat = 4, ntyp = 3
/
ATOMIC_SPECIES
Tl 204.38 Tl.upf
Y 88.91 Y.upf
Tm 168.93 Tm.upf
CELL_PARAMETERS angstrom
3.508 -0.490 -0.297
-0.900 6.554 -0.126
-1.786 -3.180 5.455
ATOMIC_POSITIONS crystal
Tl 0.667 0.179 0.039
Y 0.702 0.709 0.579
Y 0.315 0.098 0.416
Tm 0.316 0.550 0.965
```

Summary:
Total moment = 0.0 μB/f.u.
N(E_F) = 4.32 states/eV per cell

---

The most stable arrangement is P, and the next structure is 17 meV/atom less stable.